Here is LiCu9Sn2 after structural relaxation from the Alexandria database. Energies are from GGA-PBE.

Computed properties:
Crystal system: trigonal
Formation enthalpy at 0 K in eV per atom: 0.020
Space group: No. 166

Cell and atoms, written as extended XYZ:
```
12
Lattice="5.024 0.000 0.000 2.512 4.351 0.000 2.512 1.450 8.124" Properties=species:S:1:pos:R:3 pbc="T T T"
Sn 7.536 4.351 3.226
Cu 3.758 2.170 2.018
Li 0.000 0.000 0.000
Sn 2.512 1.450 4.897
Cu 5.024 2.901 4.062
Cu 5.024 4.362 2.018
Cu 5.024 2.901 8.119
Cu 6.290 3.631 6.105
Cu 6.290 2.170 2.018
Cu 5.024 1.439 6.105
Cu 5.024 2.901 0.004
Cu 3.758 3.631 6.105
```

---

Here is Li2Cu2Sn after structural relaxation from the Alexandria database. Energies are from GGA-PBE.

Computed properties:
Crystal system: tetragonal
Offset from the most stable computed form in kJ/mol of formula units: 46
Formation enthalpy at 0 K in eV per atom: -0.113
Space group: No. 127

Cell and atoms, written as extended XYZ:
```
10
Lattice="-4.580 -4.186 -3.306 4.158 -5.531 1.243 -1.474 -0.505 2.682" Properties=species:S:1:pos:R:3 pbc="T T T"
Cu 1.920 -6.417 -0.153
Cu -2.343 -3.301 -1.909
Sn -0.211 -4.859 -1.031
Sn 0.000 0.000 0.000
Li -0.338 -7.651 0.166
Cu -1.415 -7.119 -2.119
Cu 0.993 -2.598 0.056
Li -1.558 -2.572 0.453
Li 1.271 -4.652 1.616
Li -3.167 -5.571 -0.997
```